# 1
Density functional theory data (GGA-PBE) for a relaxed NaLi2PbI6 crystal.

Calculated values
final energy: -2.6363 eV per atom
E_form (uncorrected): -0.8207 eV/atom

Cell and atoms, written as CIF:
```
data_NaLi2PbI6
_symmetry_space_group_name_H-M 'C 1 2/c 1'
_symmetry_Int_Tables_number 15
_cell_length_a 16.3226
_cell_length_b 15.6881
_cell_length_c 6.9656
_cell_angle_alpha 90.00
_cell_angle_beta 105.85
_cell_angle_gamma 90.00
loop_
_symmetry_equiv_pos_as_xyz
'x,y,z'
'-x,-y,-z'
'-x,y,-z+1/2'
'x,-y,z+1/2'
'x+1/2,y+1/2,z'
'-x+1/2,-y+1/2,-z'
'-x+1/2,y+1/2,-z+1/2'
'x+1/2,-y+1/2,z+1/2'
loop_
_atom_site_label
_atom_site_type_symbol
_atom_site_fract_x
_atom_site_fract_y
_atom_site_fract_z
Na1 Na 0.0000 0.2434 0.2500
Li1 Li 0.2119 0.3902 0.7739
Pb1 Pb 0.0000 0.0951 0.7500
I1 I 0.1181 0.0807 0.1980
I2 I 0.1252 0.5003 0.4625
I3 I 0.1272 0.2365 0.6764
```



# 2
Density functional theory data (GGA-PBE) for a relaxed PrDyGa2Ni2 crystal.

Calculated values
final energy: -5.0639 eV per atom
ΔE_f: -564 meV per atom

Cell and atoms, written as CIF:
```
data_PrDyGa2Ni2
_symmetry_space_group_name_H-M 'P -3 m 1'
_symmetry_Int_Tables_number 164
_symmetry_space_group_name_Hall '-P 3 2"'
_cell_length_a 4.3241
_cell_length_b 4.3241
_cell_length_c 7.2592
_cell_angle_alpha 90.00
_cell_angle_beta 90.00
_cell_angle_gamma 120.00
loop_
_atom_site_label
_atom_site_type_symbol
_atom_site_fract_x
_atom_site_fract_y
_atom_site_fract_z
Pr1 Pr 0.0000 0.0000 0.0000
Dy1 Dy 0.0000 0.0000 0.5000
Ga1 Ga 0.3333 0.6667 0.2705
Ni1 Ni 0.3333 0.6667 0.7253
```



# 3
Density functional theory data (GGA-PBE) for a relaxed ScSi2Os crystal.

Calculated values
final energy: -7.4847 eV per atom
E_form (uncorrected): -0.3829 eV/atom

Cell and atoms, written as CIF:
```
data_ScSi2Os
_symmetry_space_group_name_H-M 'A m m 2'
_symmetry_Int_Tables_number 38
_cell_length_a 4.0868
_cell_length_b 3.1800
_cell_length_c 9.1917
_cell_angle_alpha 90.00
_cell_angle_beta 90.00
_cell_angle_gamma 90.00
loop_
_symmetry_equiv_pos_as_xyz
'x,y,z'
'-x,-y,z'
'-x,y,z'
'x,-y,z'
'x,y+1/2,z+1/2'
'-x,-y+1/2,z+1/2'
'-x,y+1/2,z+1/2'
'x,-y+1/2,z+1/2'
loop_
_atom_site_label
_atom_site_type_symbol
_atom_site_fract_x
_atom_site_fract_y
_atom_site_fract_z
Sc1 Sc 0.0000 0.0000 0.0000
Si1 Si 0.0000 0.0000 0.7295
Si2 Si 0.5000 0.0000 0.5715
Os1 Os 0.5000 0.0000 0.2853
```



# 4
Density functional theory data (GGA-PBE) for a relaxed LaPm4In crystal.

Calculated values
final energy: -4.5988 eV per atom
ΔE_f: -154 meV per atom
relative energy among the computed polymorphs: 0 meV/atom

Cell and atoms, written as CIF:
```
data_LaPm4In
_symmetry_space_group_name_H-M 'C m m m'
_symmetry_Int_Tables_number 65
_symmetry_space_group_name_Hall '-C 2 2'
_cell_length_a 5.0023
_cell_length_b 15.5467
_cell_length_c 5.0110
_cell_angle_alpha 90.00
_cell_angle_beta 90.00
_cell_angle_gamma 90.00
loop_
_atom_site_label
_atom_site_type_symbol
_atom_site_fract_x
_atom_site_fract_y
_atom_site_fract_z
La1 La 0.0000 0.0000 0.0000
Pm1 Pm 0.0000 0.1629 0.5000
Pm2 Pm 0.0000 0.3332 0.0000
In1 In 0.0000 0.5000 0.5000
```



# 5
Density functional theory data (GGA-PBE) for a relaxed Cs3ErBi2Se6 crystal.

Calculated values
final energy: -4.0779 eV per atom
E_form (uncorrected): -1.0952 eV/atom

Cell and atoms, written as CIF:
```
data_Cs3ErBi2Se6
_symmetry_space_group_name_H-M 'C 1 2/m 1'
_symmetry_Int_Tables_number 12
_cell_length_a 7.5306
_cell_length_b 13.0412
_cell_length_c 8.7254
_cell_angle_alpha 90.00
_cell_angle_beta 106.70
_cell_angle_gamma 90.00
loop_
_symmetry_equiv_pos_as_xyz
'x,y,z'
'-x,-y,-z'
'-x,y,-z'
'x,-y,z'
'x+1/2,y+1/2,z'
'-x+1/2,-y+1/2,-z'
'-x+1/2,y+1/2,-z'
'x+1/2,-y+1/2,z'
loop_
_atom_site_label
_atom_site_type_symbol
_atom_site_fract_x
_atom_site_fract_y
_atom_site_fract_z
Cs1 Cs 0.0000 0.0000 0.0000
Cs2 Cs 0.0000 0.3302 0.0000
Er1 Er 0.0000 0.5000 0.5000
Bi1 Bi 0.0000 0.1663 0.5000
Se1 Se 0.2245 0.3382 0.6883
Se2 Se 0.2396 0.0000 0.6894
```



# 6
Density functional theory data (GGA-PBE) for a relaxed Al2PbBr6Cl2 crystal.

Calculated values
final energy: -3.4110 eV per atom
E_form (uncorrected): -1.1452 eV/atom

Cell and atoms, written as CIF:
```
data_Al2PbBr6Cl2
_symmetry_space_group_name_H-M 'P -3'
_symmetry_Int_Tables_number 147
_cell_length_a 7.0067
_cell_length_b 7.0067
_cell_length_c 10.0825
_cell_angle_alpha 90.00
_cell_angle_beta 90.00
_cell_angle_gamma 120.00
loop_
_symmetry_equiv_pos_as_xyz
'x,y,z'
'-x,-y,-z'
'-y,x-y,z'
'y,-x+y,-z'
'-x+y,-x,z'
'x-y,x,-z'
loop_
_atom_site_label
_atom_site_type_symbol
_atom_site_fract_x
_atom_site_fract_y
_atom_site_fract_z
Al1 Al 0.3333 0.6667 0.2372
Pb1 Pb 0.0000 0.0000 0.5000
Br1 Br 0.0094 0.6487 0.3207
Cl1 Cl 0.3333 0.6667 0.0297
```



# 7
Density functional theory data (GGA-PBE) for a relaxed NdSm2GaO crystal.

Calculated values
final energy: -5.8189 eV per atom
E_form (uncorrected): -1.3806 eV/atom

Cell and atoms, written as CIF:
```
data_NdSm2GaO
_symmetry_space_group_name_H-M 'P 4/m m m'
_symmetry_Int_Tables_number 123
_symmetry_space_group_name_Hall '-P 4 2'
_cell_length_a 4.8317
_cell_length_b 4.8317
_cell_length_c 4.9194
_cell_angle_alpha 90.00
_cell_angle_beta 90.00
_cell_angle_gamma 90.00
loop_
_atom_site_label
_atom_site_type_symbol
_atom_site_fract_x
_atom_site_fract_y
_atom_site_fract_z
Nd1 Nd 0.0000 0.0000 0.0000
Sm1 Sm 0.0000 0.5000 0.5000
Ga1 Ga 0.5000 0.5000 0.0000
O1 O 0.0000 0.0000 0.5000
```



We obtain calculated volume values of 1715.9; 117.5; 119.5; 389.7; 820.8; 428.7; 114.8 Å³/cell for the records listed above, in that order.
We obtain total moment values of 0.00; 0.00; 0.00; 0.00; 0.00; 0.00; 0.00 μB per cell for the records listed above, in that order.